No. 1
Density functional theory data (PBE-GGA) for CaN2F after structural relaxation.

Calculated values
formation energy from raw total energies: 0.72 eV/atom
total moment: 1.250 μB/atom
V: 54 Å³ per cell
distance to the lowest polymorph of the same formula: 0.073 eV per atom

abc: 4.230 4.230 4.230
angles: 60.00 60.00 60.00
Element x y z (fractional)
Ca1 0.000 0.000 0.000
N1 0.250 0.250 0.250
N2 0.750 0.750 0.750
F1 0.500 0.500 0.500

No. 2
Density functional theory data (PBE-GGA) for Si8Sb after structural relaxation.

Calculated values
formation energy from raw total energies: 0.58 eV/atom
total moment: 0.000 μB/atom
V: 147 Å³ per cell

abc: 6.341 6.341 6.341
angles: 95.96 95.96 142.41
Element x y z (fractional)
Si1 0.000 0.345 0.345
Si2 0.000 0.655 0.655
Si3 0.317 0.317 0.634
Si4 0.317 0.683 0.000
Si5 0.345 0.000 0.345
Si6 0.655 0.000 0.655
Si7 0.683 0.317 0.000
Si8 0.683 0.683 0.366
Sb1 0.000 0.000 0.000

No. 3
Density functional theory data (PBE-GGA) for GdSnHgRh after structural relaxation.

Calculated values
total moment: 1.781 μB/atom
V: 87 Å³ per cell
calculated formation energy: -0.425 eV/atom

abc: 4.968 4.968 4.968
angles: 60.00 60.00 60.00
Element x y z (fractional)
Gd1 0.000 0.000 0.000
Sn1 0.500 0.500 0.500
Hg1 0.750 0.750 0.750
Rh1 0.250 0.250 0.250